[1]
An optimized crystal structure of HfPaGaMo, computed with PBE-GGA.

Lattice parameters (Å, degrees): 6.8676 6.8676 6.8676 90.00 90.00 90.00
Last column: nearest neighbours and their distance in Å.
Space group F-43m (No. 216)
Asymmetric unit:
Hf 0.0000 0.0000 0.0000 (multiplicity 4)  4 Mo 2.97, 4 Ga 2.97
Pa 0.0000 0.0000 0.5000 (multiplicity 4)  4 Ga 2.97, 4 Mo 2.97
Ga 0.2500 0.2500 0.7500 (multiplicity 4)  4 Hf 2.97, 4 Pa 2.97
Mo 0.2500 0.2500 0.2500 (multiplicity 4)  4 Pa 2.97, 4 Hf 2.97

Values from the calculation:
ΔH_f (0 K) ... -0.04 eV/atom
Total energy ... -8.368 eV/atom


[2]
An optimized crystal structure of HfGaMo2S, computed with PBE-GGA.

Lattice parameters (Å, degrees): 4.8740 4.8740 5.0671 90.00 90.00 90.00
Last column: nearest neighbours and their distance in Å.
Space group P4/mmm (No. 123)
Asymmetric unit:
Hf 0.0000 0.0000 0.0000 (multiplicity 1)  4 Mo 2.44, 2 Ga 2.53
Ga 0.0000 0.0000 0.5000 (multiplicity 1)  2 Hf 2.53
Mo 0.0000 0.5000 0.0000 (multiplicity 2)  2 Hf 2.44
S 0.5000 0.5000 0.5000 (multiplicity 1)  4 Ga 3.45, 8 Mo 3.52

Values from the calculation:
ΔE_f (raw) ... 171.8 kJ per mole of atoms
Total energy ... -5.974 eV/atom


[3]
An optimized crystal structure of HfScGaMo, computed with PBE-GGA.

Lattice parameters (Å, degrees): 6.6537 6.6537 6.6537 90.00 90.00 90.00
Last column: nearest neighbours and their distance in Å.
Space group F-43m (No. 216)
Asymmetric unit:
Hf 0.0000 0.0000 0.0000 (multiplicity 4)  4 Mo 2.88, 4 Ga 2.88
Sc 0.0000 0.0000 0.5000 (multiplicity 4)  4 Mo 2.88, 4 Ga 2.88
Ga 0.2500 0.2500 0.2500 (multiplicity 4)  4 Hf 2.88, 4 Sc 2.88
Mo 0.2500 0.2500 0.7500 (multiplicity 4)  4 Hf 2.88, 4 Sc 2.88

Values from the calculation:
ΔH_f (0 K) ... -0.24 eV/atom
Total energy ... -7.774 eV/atom